(1)
# LiSe4

An optimized crystal structure of LiSe4 (PBE, Alexandria via LeMat-Bulk).

Cell: 10.113 10.113 10.113 Å, 158.97 158.97 29.91°
Atoms (fractional coordinates):
1 Li 0.000 0.000 0.000
2 Se 0.750 0.250 0.500
3 Se 0.250 0.750 0.500
4 Se 0.559 0.559 0.000
5 Se 0.441 0.441 0.000

Results
formation energy from raw total energies	-225	meV per atom
V	26.62	Å³/atom
energy relative to the lowest polymorph listed for this composition	0.000	eV/atom
space group	I4/mmm, No. 139
magnetization	0.0000	μB per atom

=====

(2)
# Li3Se

An optimized crystal structure of Li3Se (PBE, Alexandria via LeMat-Bulk).

Cell: 4.103 5.880 6.121 Å, 90.00 90.00 90.00°
Atoms (fractional coordinates):
1 Li 0.500 0.355 0.000
2 Li 0.000 0.645 0.500
3 Li 0.000 0.219 0.275
4 Li 0.000 0.219 0.725
5 Li 0.500 0.781 0.775
6 Li 0.500 0.781 0.225
7 Se 0.000 0.605 0.000
8 Se 0.500 0.395 0.500

Results
formation energy from raw total energies	-719	meV per atom
V	18.46	Å³/atom
energy relative to the lowest polymorph listed for this composition	0.114	eV/atom
space group	Pmmn, No. 59
magnetization	0.0591	μB per atom

=====

(3)
# Li3Se

An optimized crystal structure of Li3Se (PBE, Alexandria via LeMat-Bulk).

Cell: 4.898 4.898 3.973 Å, 67.55 67.55 47.61°
Atoms (fractional coordinates):
1 Li 0.500 0.500 0.500
2 Li 0.749 0.749 0.755
3 Li 0.251 0.251 0.245
4 Se 0.000 0.000 0.000

Results
formation energy from raw total energies	-666	meV per atom
V	15.99	Å³/atom
energy relative to the lowest polymorph listed for this composition	0.168	eV/atom
space group	C2/m, No. 12
magnetization	0.0814	μB per atom

=====

(4)
# Li3Se

An optimized crystal structure of Li3Se (PBE, Alexandria via LeMat-Bulk).

Cell: 6.594 6.594 6.594 Å, 35.80 35.80 35.80°
Atoms (fractional coordinates):
1 Li 0.285 0.285 0.285
2 Li 0.500 0.500 0.500
3 Li 0.715 0.715 0.715
4 Se 0.000 0.000 0.000

Results
formation energy from raw total energies	-651	meV per atom
V	21.92	Å³/atom
energy relative to the lowest polymorph listed for this composition	0.183	eV/atom
space group	R-3m, No. 166
magnetization	0.0840	μB per atom